No. 1
First-principles (GGA-PBE) data for a relaxed KIrRh crystal, as listed in the Alexandria database.

Properties
Crystal system: cubic
Total energy, eV per atom: -4.479
Fermi-level density of states, states/eV/cell: 3.07
Space group: F-43m
ΔE to the lowest computed polymorph, meV per atom: 929.7
Magnetic moment, μB/cell: 2.27
ΔH_f (0 K), eV per formula unit: 3.9

a = 4.539 Å, b = 4.539 Å, c = 4.539 Å
α = 60.00°, β = 60.00°, γ = 60.00°
Element x y z (fractional)
K 0.000 0.000 0.000
Ir 0.500 0.500 0.500
Rh 0.750 0.750 0.750


No. 2
First-principles (GGA-PBE) data for a relaxed Ba2PuMn2N6 crystal, as listed in the Alexandria database.

Properties
Crystal system: trigonal
Total energy, eV per atom: -8.571
Fermi-level density of states, states/eV/cell: 3.50
Space group: R-3m
Magnetic moment, μB/cell: 6.01

a = 6.737 Å, b = 6.737 Å, c = 6.737 Å
α = 52.95°, β = 52.95°, γ = 52.95°
Element x y z (fractional)
Ba 0.230 0.230 0.230
Ba 0.770 0.770 0.770
Pu 0.000 0.000 0.000
Mn 0.430 0.430 0.430
Mn 0.570 0.570 0.570
N 0.249 0.249 0.730
N 0.249 0.730 0.249
N 0.270 0.751 0.751
N 0.730 0.249 0.249
N 0.751 0.270 0.751
N 0.751 0.751 0.270


No. 3
First-principles (GGA-PBE) data for a relaxed TbPm2Cd crystal, as listed in the Alexandria database.

Properties
Crystal system: cubic
Total energy, eV per atom: -3.797
Fermi-level density of states, states/eV/cell: 5.55
Space group: Fm-3m
ΔE to the lowest computed polymorph, meV per atom: 106.0
Magnetic moment, μB/cell: 0.00
ΔH_f (0 K), eV per formula unit: -0.1

a = 5.538 Å, b = 5.538 Å, c = 5.538 Å
α = 60.00°, β = 60.00°, γ = 60.00°
Element x y z (fractional)
Tb 0.000 0.000 0.000
Pm 0.250 0.250 0.250
Pm 0.750 0.750 0.750
Cd 0.500 0.500 0.500


No. 4
First-principles (GGA-PBE) data for a relaxed LaF3 crystal, as listed in the Alexandria database.

Properties
Crystal system: orthorhombic
Total energy, eV per atom: -6.713
Fermi-level density of states, states/eV/cell: 0.00
Space group: Pmmn
Magnetic moment, μB/cell: 0.00

a = 4.029 Å, b = 5.105 Å, c = 5.401 Å
α = 90.00°, β = 90.00°, γ = 90.00°
Element x y z (fractional)
La 0.250 0.250 0.247
La 0.750 0.750 0.753
F 0.250 0.000 0.856
F 0.250 0.500 0.856
F 0.250 0.750 0.435
F 0.750 0.000 0.144
F 0.750 0.250 0.565
F 0.750 0.500 0.144


No. 5
First-principles (GGA-PBE) data for a relaxed ZrAg3 crystal, as listed in the Alexandria database.

Properties
Crystal system: cubic
Total energy, eV per atom: -4.249
Fermi-level density of states, states/eV/cell: 4.56
Space group: Fm-3m
Magnetic moment, μB/cell: 0.00
ΔH_f (0 K), eV per formula unit: 0.1

a = 4.746 Å, b = 4.746 Å, c = 4.746 Å
α = 60.00°, β = 60.00°, γ = 60.00°
Element x y z (fractional)
Zr 0.000 0.000 0.000
Ag 0.250 0.250 0.250
Ag 0.500 0.500 0.500
Ag 0.750 0.750 0.750


No. 6
First-principles (GGA-PBE) data for a relaxed NaRuPt2 crystal, as listed in the Alexandria database.

Properties
Crystal system: cubic
Total energy, eV per atom: -5.332
Fermi-level density of states, states/eV/cell: 4.48
Space group: Fm-3m
ΔE to the lowest computed polymorph, meV per atom: 0.0
Magnetic moment, μB/cell: 2.90
ΔH_f (0 K), eV per formula unit: 1.3

a = 4.504 Å, b = 4.504 Å, c = 4.504 Å
α = 60.00°, β = 60.00°, γ = 60.00°
Element x y z (fractional)
Na 0.000 0.000 0.000
Ru 0.500 0.500 0.500
Pt 0.250 0.250 0.250
Pt 0.750 0.750 0.750


No. 7
First-principles (GGA-PBE) data for a relaxed ScZnF2 crystal, as listed in the Alexandria database.

Properties
Crystal system: cubic
Total energy, eV per atom: -4.497
Fermi-level density of states, states/eV/cell: 3.04
Space group: Fm-3m
ΔE to the lowest computed polymorph, meV per atom: 516.8
Magnetic moment, μB/cell: 1.00

a = 4.279 Å, b = 4.279 Å, c = 4.279 Å
α = 60.00°, β = 60.00°, γ = 60.00°
Element x y z (fractional)
Sc 0.000 0.000 0.000
Zn 0.500 0.500 0.500
F 0.250 0.250 0.250
F 0.750 0.750 0.750